# Ac2Bi4PdRh3 PBE optimized geometry
data_Ac2Bi4PdRh3
_cell_length_a 4.836
_cell_length_b 4.836
_cell_length_c 10.744
_cell_angle_alpha 90.00
_cell_angle_beta 90.00
_cell_angle_gamma 90.00
_space_group_name_H-M_alt 'P 1'
_space_group_IT_number 1
loop_
_space_group_symop_operation_xyz
'x,y,z'
loop_
_atom_site_label
_atom_site_type_symbol
_atom_site_fract_x
_atom_site_fract_y
_atom_site_fract_z
Ac1 Ac 0.000 0.500 0.238
Ac2 Ac 0.500 0.000 0.762
Bi1 Bi 0.000 0.000 0.500
Bi2 Bi 0.000 0.500 0.872
Bi3 Bi 0.500 0.000 0.128
Bi4 Bi 0.500 0.500 0.500
Pd1 Pd 0.500 0.500 0.000
Rh1 Rh 0.000 0.000 0.000
Rh2 Rh 0.000 0.500 0.624
Rh3 Rh 0.500 0.000 0.376
# calculated formation energy = -0.5703 eV/atom
# size of the total moment = 0.00 μB per cell
# volume = 25.1 Å³ per atom
# energy = -56.7 eV/cell
# space-group type = P-4m2, No. 115